Density functional theory data (PBE-GGA) for YCuPbW after structural relaxation.

Output
VASP energy = -6.019 eV per atom
Spin magnetization = 0.51 μB/cell
Symmetry = F-43m, No. 216
Energy above the lowest structure with this stoichiometry = 0.000 eV/f.u.

a = 4.8752 Å, b = 4.8752 Å, c = 4.8752 Å
α = 60.00°, β = 60.00°, γ = 60.00°
Element x y z (fractional)
Y  0.0000  0.0000  0.0000
Cu  0.7500  0.7500  0.7500
Pb  0.5000  0.5000  0.5000
W  0.2500  0.2500  0.2500